First-principles (GGA-PBE) data for a geometry-optimized HoLuPtRh structure, as listed in the Alexandria database.

abc: 4.831 4.831 4.831
angles: 60.00 60.00 60.00
Element x y z (fractional)
Ho 0.000 0.000 0.000
Lu 0.500 0.500 0.500
Pt 0.750 0.750 0.750
Rh 0.250 0.250 0.250

Results
- Total moment: 0.00 μB per cell
- Space-group type: No. 216
- VASP energy: -6.734 eV/atom
- Formation energy: -1.11 eV/atom

=====

First-principles (GGA-PBE) data for a geometry-optimized Co3HPd structure, as listed in the Alexandria database.

abc: 4.608 4.608 4.608
angles: 90.00 90.00 90.00
Element x y z (fractional)
Co 0.000 0.000 0.500
Co 0.000 0.500 0.000
Co 0.500 0.000 0.000
H 0.500 0.500 0.500
Pd 0.000 0.000 0.000

Results
- Total moment: 6.69 μB per cell
- Space-group type: No. 221
- VASP energy: -4.054 eV/atom

=====

First-principles (GGA-PBE) data for a geometry-optimized MgMnZn structure, as listed in the Alexandria database.

abc: 4.438 4.438 2.819
angles: 90.00 90.00 120.00
Element x y z (fractional)
Mg 0.000 0.000 0.000
Mn 0.333 0.667 0.416
Zn 0.667 0.333 0.699

Results
- Total moment: 3.32 μB per cell
- Space-group type: No. 156
- VASP energy: -3.860 eV/atom
- Formation energy: 0.15 eV/atom

=====

First-principles (GGA-PBE) data for a geometry-optimized NpVReTc structure, as listed in the Alexandria database.

abc: 4.523 4.523 4.523
angles: 60.00 60.00 60.00
Element x y z (fractional)
Np 0.000 0.000 0.000
V 0.500 0.500 0.500
Re 0.750 0.750 0.750
Tc 0.250 0.250 0.250

Results
- Total moment: 2.79 μB per cell
- Space-group type: No. 216
- VASP energy: -11.095 eV/atom
- Formation energy: 0.12 eV/atom

=====

First-principles (GGA-PBE) data for a geometry-optimized RbCd3Si structure, as listed in the Alexandria database.

abc: 5.491 5.491 5.491
angles: 90.00 90.00 90.00
Element x y z (fractional)
Rb 0.000 0.000 0.000
Cd 0.000 0.500 0.500
Cd 0.500 0.000 0.500
Cd 0.500 0.500 0.000
Si 0.500 0.500 0.500

Results
- Total moment: 0.00 μB per cell
- Formation energy from raw total energies: 204 meV/atom
- Space-group type: No. 221
- VASP energy: -1.623 eV/atom

=====

First-principles (GGA-PBE) data for a geometry-optimized Ho2ErPb structure, as listed in the Alexandria database.

abc: 3.613 3.613 9.158
angles: 90.00 90.00 90.00
Element x y z (fractional)
Ho 0.000 0.000 0.237
Ho 0.000 0.000 0.763
Er 0.500 0.500 0.500
Pb 0.500 0.500 0.000

Results
- Total moment: 0.01 μB per cell
- Space-group type: No. 123
- VASP energy: -4.563 eV/atom
- Formation energy: -0.21 eV/atom